1.
A geometry-optimized ZrMnGe2 structure. Source: the Alexandria database, functional PBE.

Values from the calculation:
ΔE_f ... -0.0190 eV per atom
Density ... 7.416 g cm⁻³
Magnetization ... 0.000 μB per cell
Total energy ... -6.757 eV per atom

Cell and atoms, written as POSCAR:
```
ZrMnGe2
1.0
0.000 3.195 3.195
3.195 0.000 3.195
3.195 3.195 0.000
Zr Mn Ge
1 1 2
Direct
0.000 0.000 0.000
0.500 0.500 0.500
0.250 0.250 0.250
0.750 0.750 0.750
```

2.
A geometry-optimized PuZr2Rh structure. Source: the Alexandria database, functional PBE.

Values from the calculation:
ΔE_f ... -0.1291 eV per atom
Density ... 10.801 g cm⁻³
Magnetization ... 4.309 μB per cell
Total energy ... -9.824 eV per atom
E above lowest polymorph ... 186 meV per atom

Cell and atoms, written as POSCAR:
```
PuZr2Rh
1.0
2.437 1.407 3.955
-2.437 1.407 3.955
0.000 -2.814 3.955
Pu Zr Rh
1 2 1
Direct
0.000 0.000 0.000
0.249 0.249 0.249
0.500 0.500 0.500
0.750 0.750 0.750
```

3.
A geometry-optimized Al3CuPb structure. Source: the Alexandria database, functional PBE.

Values from the calculation:
ΔE_f ... 0.2546 eV per atom
Density ... 5.541 g cm⁻³
Magnetization ... 0.000 μB per cell
Total energy ... -3.552 eV per atom
E above lowest polymorph ... 0 meV per atom

Cell and atoms, written as POSCAR:
```
Al3CuPb
1.0
4.724 0.000 0.000
0.000 4.724 0.000
0.000 0.000 4.724
Al Cu Pb
3 1 1
Direct
0.000 0.000 0.500
0.000 0.500 0.000
0.500 0.000 0.000
0.000 0.000 0.000
0.500 0.500 0.500
```

4.
A geometry-optimized NdCoH3 structure. Source: the Alexandria database, functional PBE.

Values from the calculation:
Density ... 7.359 g cm⁻³
Magnetization ... 0.000 μB per cell
Total energy ... -4.800 eV per atom

Cell and atoms, written as POSCAR:
```
NdCoH3
1.0
3.597 0.000 0.000
0.000 3.597 0.000
0.000 0.000 3.597
Nd Co H
1 1 3
Direct
0.000 0.000 0.000
0.500 0.500 0.500
0.000 0.500 0.500
0.500 0.000 0.500
0.500 0.500 0.000
```

5.
A geometry-optimized BaLaMg structure. Source: the Alexandria database, functional PBE.

Values from the calculation:
ΔE_f ... 0.0297 eV per atom
Density ... 4.133 g cm⁻³
Magnetization ... 0.001 μB per cell
Total energy ... -2.785 eV per atom
E above lowest polymorph ... 0 meV per atom

Cell and atoms, written as POSCAR:
```
BaLaMg
1.0
-2.058 2.058 7.124
2.058 -2.058 7.124
2.058 2.058 -7.124
Ba La Mg
1 1 1
Direct
0.000 0.000 0.000
0.715 0.715 0.000
0.337 0.337 0.000
```

6.
A geometry-optimized TlPd5Au2 structure. Source: the Alexandria database, functional PBE.

Values from the calculation:
ΔE_f ... -0.1388 eV per atom
Density ... 13.949 g cm⁻³
Magnetization ... 0.000 μB per cell
Total energy ... -4.499 eV per atom
E above lowest polymorph ... 0 meV per atom

Cell and atoms, written as POSCAR:
```
TlPd5Au2
1.0
-2.061 2.061 7.917
2.061 -2.061 7.917
2.061 2.061 -7.917
Tl Pd Au
1 5 2
Direct
0.000 0.000 0.000
0.125 0.625 0.500
0.375 0.875 0.500
0.500 0.500 0.000
0.625 0.125 0.500
0.875 0.375 0.500
0.250 0.250 0.000
0.750 0.750 0.000
```

7.
A geometry-optimized Tl5Ag2Pd12 structure. Source: the Alexandria database, functional PBE.

Values from the calculation:
ΔE_f ... -0.0869 eV per atom
Density ... 12.057 g cm⁻³
Magnetization ... 0.000 μB per cell
Total energy ... -4.289 eV per atom

Cell and atoms, written as POSCAR:
```
Tl5Ag2Pd12
1.0
6.769 -4.002 0.000
6.769 4.002 0.000
-0.388 0.000 6.392
Tl Ag Pd
5 2 12
Direct
0.000 0.000 0.000
0.247 0.247 0.026
0.346 0.346 0.568
0.654 0.654 0.432
0.753 0.753 0.974
0.217 0.783 0.500
0.783 0.217 0.500
0.035 0.572 0.298
0.146 0.146 0.383
0.174 0.619 0.900
0.381 0.826 0.100
0.428 0.965 0.702
0.456 0.456 0.218
0.544 0.544 0.782
0.572 0.035 0.298
0.619 0.174 0.900
0.826 0.381 0.100
0.854 0.854 0.617
0.965 0.428 0.702
```

8.
A geometry-optimized TlCdOs2 structure. Source: the Alexandria database, functional PBE.

Values from the calculation:
ΔE_f ... 0.9422 eV per atom
Density ... 15.712 g cm⁻³
Magnetization ... 0.000 μB per cell
Total energy ... -5.493 eV per atom

Cell and atoms, written as POSCAR:
```
TlCdOs2
1.0
2.918 0.000 0.000
0.000 4.744 0.000
-0.095 0.000 5.323
Tl Cd Os
1 1 2
Direct
0.000 0.000 0.000
0.500 0.000 0.500
0.210 0.500 0.292
0.790 0.500 0.708
```